1.
This record from the Alexandria database describes PmCd2Pt9 after structural relaxation. The functional is PBE.

Unit cell a=5.3962 b=5.3962 c=9.2781 alpha=73.09 beta=73.09 gamma=60.00
Positions (direct):
Pm 0.0000 0.0000 0.0000
Cd 0.8553 0.8553 0.4341
Cd 0.1447 0.1447 0.5659
Pt 0.6664 0.6664 0.0009
Pt 0.3336 0.3336 0.9991
Pt 0.5000 0.5000 0.5000
Pt 0.4126 0.4126 0.2555
Pt 0.9192 0.4126 0.2555
Pt 0.4126 0.9192 0.2555
Pt 0.5874 0.5874 0.7445
Pt 0.5874 0.0808 0.7445
Pt 0.0808 0.5874 0.7445

Computed properties:
- Energy of formation from the pure elements: -0.452 eV/atom

=====

2.
This record from the Alexandria database describes Ca2C after structural relaxation. The functional is PBE.

Unit cell a=3.9342 b=3.9342 c=11.8227 alpha=90.00 beta=90.00 gamma=120.13
Positions (direct):
Ca 0.5036 0.4964 0.2103
Ca 0.4964 0.5036 0.7103
Ca 0.8302 0.1698 0.5118
Ca 0.1698 0.8302 0.0118
C 0.8367 0.1633 0.1112
C 0.1633 0.8367 0.6112

Computed properties:
- Energy of formation from the pure elements: 0.357 eV/atom
- Excess energy over the best structure of this formula in the dataset: 323 meV per atom

=====

3.
This record from the Alexandria database describes LiBe4Ni5 after structural relaxation. The functional is PBE.

Unit cell a=2.6211 b=2.6211 c=13.5854 alpha=90.00 beta=90.00 gamma=90.00
Positions (direct):
Li 0.0000 0.0000 0.0000
Be 0.0000 0.0000 0.2107
Be 0.0000 0.0000 0.4042
Be 0.0000 0.0000 0.5958
Be 0.0000 0.0000 0.7893
Ni 0.5000 0.5000 0.1201
Ni 0.5000 0.5000 0.3095
Ni 0.5000 0.5000 0.5000
Ni 0.5000 0.5000 0.6905
Ni 0.5000 0.5000 0.8799

Computed properties:
- Energy of formation from the pure elements: -0.364 eV/atom

=====

4.
This record from the Alexandria database describes Rb2ZrTl after structural relaxation. The functional is PBE.

Unit cell a=13.1023 b=13.1023 c=9.6925 alpha=47.48 beta=47.48 gamma=90.00
Positions (direct):
Tl 0.0000 0.0000 0.0000
Tl 0.7500 0.2500 0.5000
Rb 0.7635 0.1250 0.2500
Rb 0.9865 0.6250 0.2500
Rb 0.3750 0.2365 0.7500
Rb 0.8750 0.0135 0.7500
Zr 0.5000 0.5000 0.0000
Zr 0.2500 0.7500 0.5000

Computed properties:
- Energy of formation from the pure elements: 0.800 eV/atom
- Excess energy over the best structure of this formula in the dataset: 0 meV per atom

=====

5.
This record from the Alexandria database describes TiTlBi2Ru after structural relaxation. The functional is PBE.

Unit cell a=5.6820 b=5.1260 c=5.6820 alpha=90.00 beta=90.00 gamma=90.00
Positions (direct):
Ru 0.5000 0.5000 0.5000
Tl 0.0000 0.0000 0.0000
Bi 0.0000 0.0000 0.5000
Bi 0.5000 0.0000 0.0000
Ti 0.0000 0.5000 0.0000

Computed properties:
- Energy of formation from the pure elements: 1.750 eV/atom

=====

6.
This record from the Alexandria database describes PaTcSn2 after structural relaxation. The functional is PBE.

Unit cell a=3.1679 b=3.1679 c=10.7468 alpha=81.52 beta=81.52 gamma=60.00
Positions (direct):
Pa 0.0000 0.0000 0.0000
Sn 0.1005 0.1005 0.6985
Sn 0.8995 0.8995 0.3015
Tc 0.5000 0.5000 0.5000

Computed properties:
- Energy of formation from the pure elements: 0.280 eV/atom
- Excess energy over the best structure of this formula in the dataset: 517 meV per atom